Entry 1:
KTlTeBr6 PBE-GGA optimized geometry; energy = -47.503 eV per cell; crystal system = trigonal; DOS(E_F) = 0.00 states/eV/f.u.; uncorrected formation energy = -790 meV/atom
1.0
7.995 0.000 0.000
-3.997 6.924 0.000
0.000 0.000 13.280
K Tl Te Br
2 2 2 12
direct
0.333 0.667 0.250
0.667 0.333 0.750
0.000 0.000 0.000
0.000 0.000 0.500
0.333 0.667 0.750
0.667 0.333 0.250
0.055 0.386 0.630
0.055 0.668 0.870
0.332 0.386 0.870
0.332 0.945 0.630
0.386 0.055 0.130
0.386 0.332 0.370
0.614 0.668 0.630
0.614 0.945 0.870
0.668 0.055 0.370
0.668 0.614 0.130
0.945 0.332 0.130
0.945 0.614 0.370

***

Entry 2:
K2ThBr5 PBE-GGA optimized geometry; energy = -61.873 eV per cell; crystal system = orthorhombic; DOS(E_F) = 1.42 states/eV/f.u.; uncorrected formation energy = -1620 meV/atom
1.0
10.278 0.000 0.000
0.000 13.639 0.000
0.000 0.000 4.058
K Th Br
4 2 10
direct
0.064 0.169 0.000
0.436 0.669 0.000
0.564 0.331 0.000
0.936 0.831 0.000
0.000 0.500 0.500
0.500 0.000 0.500
0.000 0.000 0.500
0.144 0.682 0.500
0.177 0.410 0.000
0.323 0.910 0.000
0.356 0.182 0.500
0.500 0.500 0.500
0.644 0.818 0.500
0.677 0.090 0.000
0.823 0.590 0.000
0.856 0.318 0.500

***

Entry 3:
KTh2Br8 PBE-GGA optimized geometry; energy = -47.297 eV per cell; crystal system = monoclinic; uncorrected formation energy = -1634 meV/atom; energy relative to the lowest polymorph listed for this composition = 0 meV/atom
1.0
7.010 -3.441 0.000
7.010 3.441 0.000
-4.734 0.000 8.364
K Th Br
1 2 8
direct
0.000 0.000 0.000
0.140 0.140 0.571
0.860 0.860 0.429
0.220 0.727 0.303
0.254 0.254 0.384
0.273 0.780 0.697
0.331 0.331 0.870
0.669 0.669 0.130
0.727 0.220 0.303
0.746 0.746 0.616
0.780 0.273 0.697

***

Please write out number 3 again, unchanged.
KTh2Br8 PBE-GGA optimized geometry; energy = -47.297 eV per cell; crystal system = monoclinic; uncorrected formation energy = -1634 meV/atom; energy relative to the lowest polymorph listed for this composition = 0 meV/atom
1.0
7.010 -3.441 0.000
7.010 3.441 0.000
-4.734 0.000 8.364
K Th Br
1 2 8
direct
0.000 0.000 0.000
0.140 0.140 0.571
0.860 0.860 0.429
0.220 0.727 0.303
0.254 0.254 0.384
0.273 0.780 0.697
0.331 0.331 0.870
0.669 0.669 0.130
0.727 0.220 0.303
0.746 0.746 0.616
0.780 0.273 0.697

***

Copy entry 2 word for word.
K2ThBr5 PBE-GGA optimized geometry; energy = -61.873 eV per cell; crystal system = orthorhombic; DOS(E_F) = 1.42 states/eV/f.u.; uncorrected formation energy = -1620 meV/atom
1.0
10.278 0.000 0.000
0.000 13.639 0.000
0.000 0.000 4.058
K Th Br
4 2 10
direct
0.064 0.169 0.000
0.436 0.669 0.000
0.564 0.331 0.000
0.936 0.831 0.000
0.000 0.500 0.500
0.500 0.000 0.500
0.000 0.000 0.500
0.144 0.682 0.500
0.177 0.410 0.000
0.323 0.910 0.000
0.356 0.182 0.500
0.500 0.500 0.500
0.644 0.818 0.500
0.677 0.090 0.000
0.823 0.590 0.000
0.856 0.318 0.500

***

The highest energy belongs to which entry?
KTh2Br8